# 1
The following is a DFT calculation (PBE) of a relaxed structure of Mg2ScBiO6.

Its uncorrected energy is -6.579 eV/atom. Its uncorrected formation energy is -2.2640 eV/atom.

Cell lengths 5.718, 5.718, 5.718 Å; angles 55.91, 55.91, 55.91 degrees
Fractional positions:
1 Mg 0.000 0.000 0.000
2 Mg 0.500 0.500 0.500
3 Sc 0.212 0.212 0.212
4 Bi 0.707 0.707 0.707
5 O 0.109 0.401 0.805
6 O 0.302 0.905 0.607
7 O 0.401 0.805 0.109
8 O 0.607 0.302 0.905
9 O 0.805 0.109 0.401
10 O 0.905 0.607 0.302


# 2
The following is a DFT calculation (PBE) of a relaxed structure of MgSc2BiO.

Its uncorrected energy is -5.802 eV/atom. Its uncorrected formation energy is -1.1822 eV/atom.

Cell lengths 4.640, 4.640, 4.280 Å; angles 90.00, 90.00, 90.00 degrees
Fractional positions:
1 Mg 0.000 0.000 0.000
2 Sc 0.000 0.500 0.500
3 Sc 0.500 0.000 0.500
4 Bi 0.500 0.500 0.000
5 O 0.000 0.000 0.500


# 3
The following is a DFT calculation (PBE) of a relaxed structure of Mg6SiBiO8.

Its uncorrected energy is -5.576 eV/atom. Its uncorrected formation energy is -1.9172 eV/atom.

Cell lengths 4.517, 4.517, 9.103 Å; angles 90.00, 90.00, 90.00 degrees
Fractional positions:
1 Mg 0.000 0.000 0.000
2 Mg 0.000 0.000 0.500
3 Mg 0.000 0.500 0.242
4 Mg 0.000 0.500 0.758
5 Mg 0.500 0.000 0.242
6 Mg 0.500 0.000 0.758
7 Si 0.500 0.500 0.000
8 Bi 0.500 0.500 0.500
9 O 0.000 0.000 0.244
10 O 0.000 0.000 0.756
11 O 0.000 0.500 0.000
12 O 0.000 0.500 0.500
13 O 0.500 0.000 0.000
14 O 0.500 0.000 0.500
15 O 0.500 0.500 0.185
16 O 0.500 0.500 0.815


# 4
The following is a DFT calculation (PBE) of a relaxed structure of Mg6SiBiO8.

Its uncorrected energy is -5.577 eV/atom. Its uncorrected formation energy is -1.9184 eV/atom.

Cell lengths 4.554, 4.554, 9.014 Å; angles 90.00, 90.00, 90.00 degrees
Fractional positions:
1 Mg 0.000 0.000 0.000
2 Mg 0.000 0.500 0.230
3 Mg 0.000 0.500 0.770
4 Mg 0.500 0.000 0.230
5 Mg 0.500 0.000 0.770
6 Mg 0.500 0.500 0.000
7 Si 0.000 0.000 0.500
8 Bi 0.500 0.500 0.500
9 O 0.000 0.000 0.231
10 O 0.000 0.000 0.769
11 O 0.000 0.500 0.000
12 O 0.000 0.500 0.500
13 O 0.500 0.000 0.000
14 O 0.500 0.000 0.500
15 O 0.500 0.500 0.225
16 O 0.500 0.500 0.775


# 5
The following is a DFT calculation (PBE) of a relaxed structure of SmMg2BiO6.

Its uncorrected energy is -6.391 eV/atom. Its uncorrected formation energy is -2.2368 eV/atom.

Cell lengths 5.831, 5.831, 5.831 Å; angles 56.44, 56.44, 56.44 degrees
Fractional positions:
1 Sm 0.000 0.000 0.000
2 Mg 0.276 0.276 0.276
3 Mg 0.780 0.780 0.780
4 Bi 0.483 0.483 0.483
5 O 0.074 0.644 0.426
6 O 0.179 0.564 0.889
7 O 0.426 0.074 0.644
8 O 0.564 0.889 0.179
9 O 0.644 0.426 0.074
10 O 0.889 0.179 0.564


# 6
The following is a DFT calculation (PBE) of a relaxed structure of Sr2MgBiO6.

Its uncorrected energy is -5.831 eV/atom. Its uncorrected formation energy is -1.9726 eV/atom.

Cell lengths 5.844, 5.883, 10.080 Å; angles 90.00, 125.04, 90.00 degrees
Fractional positions:
1 Sr 0.240 0.036 0.248
2 Sr 0.240 0.464 0.748
3 Sr 0.760 0.536 0.252
4 Sr 0.760 0.964 0.752
5 Mg 0.000 0.000 0.500
6 Mg 0.000 0.500 0.000
7 Bi 0.500 0.000 0.000
8 Bi 0.500 0.500 0.500
9 O 0.174 0.217 0.961
10 O 0.174 0.283 0.461
11 O 0.243 0.715 0.959
12 O 0.243 0.785 0.459
13 O 0.325 0.021 0.748
14 O 0.325 0.479 0.248
15 O 0.675 0.521 0.752
16 O 0.675 0.979 0.252
17 O 0.757 0.215 0.541
18 O 0.757 0.285 0.041
19 O 0.826 0.717 0.539
20 O 0.826 0.783 0.039


# 7
The following is a DFT calculation (PBE) of a relaxed structure of Sr2MgBiO5.

Its uncorrected energy is -5.800 eV/atom. Its uncorrected formation energy is -2.0635 eV/atom.

Cell lengths 7.021, 7.021, 11.820 Å; angles 90.00, 90.00, 150.63 degrees
Fractional positions:
1 Sr 0.094 0.906 0.500
2 Sr 0.158 0.842 0.107
3 Sr 0.842 0.158 0.607
4 Sr 0.906 0.094 0.000
5 Mg 0.235 0.765 0.855
6 Mg 0.765 0.235 0.355
7 Bi 0.456 0.544 0.285
8 Bi 0.544 0.456 0.785
9 O 0.077 0.923 0.888
10 O 0.268 0.732 0.488
11 O 0.297 0.703 0.244
12 O 0.387 0.613 0.848
13 O 0.493 0.507 0.612
14 O 0.507 0.493 0.112
15 O 0.613 0.387 0.348
16 O 0.703 0.297 0.744
17 O 0.732 0.268 0.988
18 O 0.923 0.077 0.388


# 8
The following is a DFT calculation (PBE) of a relaxed structure of MgTaBiO6.

Its uncorrected energy is -7.151 eV/atom. Its uncorrected formation energy is -1.9198 eV/atom.

Cell lengths 5.384, 5.384, 9.229 Å; angles 90.00, 90.00, 120.00 degrees
Fractional positions:
1 Mg 0.000 0.000 0.000
2 Mg 0.000 0.000 0.500
3 Ta 0.333 0.667 0.250
4 Ta 0.667 0.333 0.750
5 Bi 0.333 0.667 0.750
6 Bi 0.667 0.333 0.250
7 O 0.019 0.356 0.130
8 O 0.019 0.664 0.370
9 O 0.336 0.356 0.370
10 O 0.336 0.981 0.130
11 O 0.356 0.019 0.630
12 O 0.356 0.336 0.870
13 O 0.644 0.664 0.130
14 O 0.644 0.981 0.370
15 O 0.664 0.019 0.870
16 O 0.664 0.644 0.630
17 O 0.981 0.336 0.630
18 O 0.981 0.644 0.870


# 9
The following is a DFT calculation (PBE) of a relaxed structure of MgTaBiO5.

The offset from the most stable computed form comes out at 0 meV per atom. Its uncorrected energy is -7.589 eV/atom. Its uncorrected formation energy is -2.3238 eV/atom.

Cell lengths 5.356, 15.773, 10.020 Å; angles 90.00, 90.00, 90.00 degrees
Fractional positions:
1 Mg 0.016 0.082 0.150
2 Mg 0.016 0.418 0.650
3 Mg 0.484 0.582 0.150
4 Mg 0.484 0.918 0.650
5 Mg 0.516 0.082 0.350
6 Mg 0.516 0.418 0.850
7 Mg 0.984 0.582 0.350
8 Mg 0.984 0.918 0.850
9 Ta 0.070 0.066 0.615
10 Ta 0.070 0.434 0.115
11 Ta 0.430 0.566 0.615
12 Ta 0.430 0.934 0.115
13 Ta 0.570 0.066 0.885
14 Ta 0.570 0.434 0.385
15 Ta 0.930 0.566 0.885
16 Ta 0.930 0.934 0.385
17 Bi 0.084 0.246 0.364
18 Bi 0.084 0.254 0.864
19 Bi 0.416 0.746 0.364
20 Bi 0.416 0.754 0.864
21 Bi 0.584 0.246 0.136
22 Bi 0.584 0.254 0.636
23 Bi 0.916 0.746 0.136
24 Bi 0.916 0.754 0.636
25 O 0.044 0.675 0.812
26 O 0.044 0.825 0.312
27 O 0.187 0.548 0.019
28 O 0.187 0.952 0.519
29 O 0.198 0.626 0.504
30 O 0.198 0.874 0.004
31 O 0.215 0.666 0.225
32 O 0.215 0.834 0.725
33 O 0.216 0.512 0.755
34 O 0.216 0.988 0.255
35 O 0.284 0.012 0.755
36 O 0.284 0.488 0.255
37 O 0.285 0.166 0.225
38 O 0.285 0.334 0.725
39 O 0.302 0.126 0.504
40 O 0.302 0.374 0.004
41 O 0.313 0.048 0.019
42 O 0.313 0.452 0.519
43 O 0.456 0.175 0.812
44 O 0.456 0.325 0.312
45 O 0.544 0.675 0.688
46 O 0.544 0.825 0.188
47 O 0.687 0.548 0.481
48 O 0.687 0.952 0.981
49 O 0.698 0.626 0.996
50 O 0.698 0.874 0.496
51 O 0.715 0.666 0.275
52 O 0.715 0.834 0.775
53 O 0.716 0.512 0.745
54 O 0.716 0.988 0.245
55 O 0.784 0.012 0.745
56 O 0.784 0.488 0.245
57 O 0.785 0.166 0.275
58 O 0.785 0.334 0.775
59 O 0.802 0.126 0.996
60 O 0.802 0.374 0.496
61 O 0.813 0.048 0.481
62 O 0.813 0.452 0.981
63 O 0.956 0.175 0.688
64 O 0.956 0.325 0.188


# 10
The following is a DFT calculation (PBE) of a relaxed structure of Mg2TaBiO6.

Its uncorrected energy is -7.131 eV/atom. Its uncorrected formation energy is -2.2640 eV/atom.

Cell lengths 5.588, 7.985, 5.606 Å; angles 90.00, 93.20, 90.00 degrees
Fractional positions:
1 Mg 0.027 0.250 0.021
2 Mg 0.472 0.750 0.519
3 Mg 0.528 0.250 0.481
4 Mg 0.973 0.750 0.979
5 Ta 0.000 0.000 0.500
6 Ta 0.000 0.500 0.500
7 Bi 0.500 0.000 0.000
8 Bi 0.500 0.500 0.000
9 O 0.092 0.750 0.630
10 O 0.134 0.572 0.194
11 O 0.134 0.928 0.194
12 O 0.318 0.071 0.625
13 O 0.318 0.429 0.625
14 O 0.376 0.250 0.147
15 O 0.624 0.750 0.853
16 O 0.682 0.571 0.375
17 O 0.682 0.929 0.375
18 O 0.866 0.072 0.806
19 O 0.866 0.428 0.806
20 O 0.908 0.250 0.370


# 11
The following is a DFT calculation (PBE) of a relaxed structure of MgTaBiO5.

The offset from the most stable computed form comes out at 13 meV per atom. Its uncorrected energy is -7.575 eV/atom. Its uncorrected formation energy is -2.3103 eV/atom.

Cell lengths 5.435, 11.816, 8.422 Å; angles 90.00, 112.21, 90.00 degrees
Fractional positions:
1 Mg 0.047 0.080 0.168
2 Mg 0.047 0.420 0.668
3 Mg 0.953 0.580 0.332
4 Mg 0.953 0.920 0.832
5 Ta 0.327 0.638 0.037
6 Ta 0.327 0.862 0.537
7 Ta 0.673 0.138 0.463
8 Ta 0.673 0.362 0.963
9 Bi 0.444 0.096 0.837
10 Bi 0.444 0.404 0.337
11 Bi 0.556 0.596 0.663
12 Bi 0.556 0.904 0.163
13 O 0.176 0.718 0.479
14 O 0.176 0.782 0.979
15 O 0.192 0.557 0.181
16 O 0.192 0.943 0.681
17 O 0.254 0.025 0.013
18 O 0.254 0.475 0.513
19 O 0.304 0.558 0.836
20 O 0.304 0.942 0.336
21 O 0.329 0.181 0.337
22 O 0.329 0.319 0.837
23 O 0.671 0.681 0.163
24 O 0.671 0.819 0.663
25 O 0.696 0.058 0.664
26 O 0.696 0.442 0.164
27 O 0.746 0.525 0.487
28 O 0.746 0.975 0.987
29 O 0.808 0.057 0.319
30 O 0.808 0.443 0.819
31 O 0.824 0.218 0.021
32 O 0.824 0.282 0.521


# 12
The following is a DFT calculation (PBE) of a relaxed structure of TbMg2BiO6.

Its uncorrected energy is -6.413 eV/atom. Its uncorrected formation energy is -2.2685 eV/atom.

Cell lengths 5.818, 5.818, 5.818 Å; angles 56.21, 56.21, 56.21 degrees
Fractional positions:
1 Tb 0.000 0.000 0.000
2 Mg 0.281 0.281 0.281
3 Mg 0.784 0.784 0.784
4 Bi 0.488 0.488 0.488
5 O 0.080 0.659 0.420
6 O 0.185 0.573 0.891
7 O 0.420 0.080 0.659
8 O 0.573 0.891 0.185
9 O 0.659 0.420 0.080
10 O 0.891 0.185 0.573


# 13
The following is a DFT calculation (PBE) of a relaxed structure of MgTcBi2O6.

Its uncorrected energy is -6.379 eV/atom. Its uncorrected formation energy is -1.4321 eV/atom.

Cell lengths 5.703, 8.184, 5.761 Å; angles 90.00, 90.00, 90.00 degrees
Fractional positions:
1 Mg 0.250 0.250 0.241
2 Mg 0.750 0.750 0.759
3 Tc 0.250 0.750 0.236
4 Tc 0.750 0.250 0.764
5 Bi 0.250 0.551 0.705
6 Bi 0.250 0.949 0.705
7 Bi 0.750 0.051 0.295
8 Bi 0.750 0.449 0.295
9 O 0.025 0.750 0.979
10 O 0.027 0.750 0.523
11 O 0.250 0.505 0.298
12 O 0.250 0.995 0.298
13 O 0.473 0.750 0.523
14 O 0.475 0.750 0.979
15 O 0.525 0.250 0.021
16 O 0.527 0.250 0.477
17 O 0.750 0.005 0.702
18 O 0.750 0.495 0.702
19 O 0.973 0.250 0.477
20 O 0.975 0.250 0.021


# 14
The following is a DFT calculation (PBE) of a relaxed structure of MgTc2BiO.

Its uncorrected energy is -4.182 eV/atom. Its uncorrected formation energy is 2.0507 eV/atom.

Cell lengths 5.207, 5.207, 5.485 Å; angles 90.00, 90.00, 90.00 degrees
Fractional positions:
1 Mg 0.000 0.000 0.000
2 Tc 0.000 0.500 0.500
3 Tc 0.500 0.000 0.500
4 Bi 0.000 0.000 0.500
5 O 0.500 0.500 0.000


# 15
The following is a DFT calculation (PBE) of a relaxed structure of MgBi2TeO6.

Its uncorrected energy is -5.596 eV/atom. Its uncorrected formation energy is -1.3709 eV/atom.

Cell lengths 5.630, 6.061, 9.899 Å; angles 90.00, 124.60, 90.00 degrees
Fractional positions:
1 Mg 0.000 0.000 0.000
2 Mg 0.000 0.500 0.500
3 Bi 0.269 0.047 0.758
4 Bi 0.269 0.453 0.258
5 Bi 0.731 0.547 0.742
6 Bi 0.731 0.953 0.242
7 Te 0.500 0.000 0.500
8 Te 0.500 0.500 0.000
9 O 0.120 0.047 0.244
10 O 0.120 0.453 0.744
11 O 0.243 0.693 0.065
12 O 0.243 0.807 0.565
13 O 0.374 0.180 0.049
14 O 0.374 0.320 0.549
15 O 0.626 0.680 0.451
16 O 0.626 0.820 0.951
17 O 0.757 0.193 0.435
18 O 0.757 0.307 0.935
19 O 0.880 0.547 0.256
20 O 0.880 0.953 0.756


# 16
The following is a DFT calculation (PBE) of a relaxed structure of MgBiTeO6.

Its uncorrected energy is -5.655 eV/atom. Its uncorrected formation energy is -1.3925 eV/atom.

Cell lengths 5.308, 5.308, 9.487 Å; angles 90.00, 90.00, 120.00 degrees
Fractional positions:
1 Mg 0.333 0.667 0.250
2 Mg 0.667 0.333 0.750
3 Bi 0.000 0.000 0.000
4 Bi 0.000 0.000 0.500
5 Te 0.333 0.667 0.750
6 Te 0.667 0.333 0.250
7 O 0.018 0.368 0.637
8 O 0.018 0.650 0.863
9 O 0.350 0.368 0.863
10 O 0.350 0.982 0.637
11 O 0.368 0.018 0.137
12 O 0.368 0.350 0.363
13 O 0.632 0.650 0.637
14 O 0.632 0.982 0.863
15 O 0.650 0.018 0.363
16 O 0.650 0.632 0.137
17 O 0.982 0.350 0.137
18 O 0.982 0.632 0.363